The following is a GGA+U calculation of a relaxed Ba2NpCo3O12 crystal, from Alexandria via LeMat-Bulk.

Unit cell a=7.1808 b=7.1808 c=7.1808 alpha=56.48 beta=56.48 gamma=56.48
Each line ends with the local moment (μB).
Sites, in units of the cell vectors:
O1 0.9148 0.3221 0.3221  0.18
O2 0.9198 0.9198 0.3456  -0.02
O3 0.3221 0.3221 0.9148  0.18
O4 0.6779 0.6779 0.0852  0.18
O5 0.9198 0.3456 0.9198  -0.02
O6 0.3221 0.9148 0.3221  0.18
O7 0.0802 0.6544 0.0802  -0.02
O8 0.0852 0.6779 0.6779  0.18
O9 0.6779 0.0852 0.6779  0.18
O10 0.6544 0.0802 0.0802  -0.02
O11 0.0802 0.0802 0.6544  -0.02
O12 0.3456 0.9198 0.9198  -0.02
Co1 0.0000 0.0000 0.5000  0.93
Co2 0.0000 0.5000 0.0000  0.93
Co3 0.5000 0.0000 0.0000  0.93
Np1 0.0000 0.0000 0.0000  -0.03
Ba1 0.6070 0.6070 0.6070  0.00
Ba2 0.3930 0.3930 0.3930  0.00

Results
DOS at the Fermi energy, states/eV/f.u.: 3.10
Raw total energy, eV/atom: -6.652
SG: No. 166
Spin magnetization, μB per cell: 4.0